No. 1
Material: Y2Si4Ni3
Method: DFT, PBE-GGA
State: optimized geometry

## Properties
Crystal system: orthorhombic
Formation energy (no corrections) in eV/atom: -0.718

Unit cell a=5.368 b=14.295 c=7.081 alpha=90.00 beta=90.00 gamma=90.00
Space group Cmce (No. 64)
Unique sites:
Y 0.000 0.107 0.098 x8
Si 0.000 0.182 0.484 x8
Si 0.250 0.064 0.750 x8
Ni 0.000 0.000 0.500 x4
Ni 0.250 0.228 0.750 x8

---

No. 2
Material: ZrTaP2S
Method: DFT, PBE-GGA
State: optimized geometry

## Properties
Crystal system: tetragonal
Formation energy (no corrections) in eV/atom: 0.055
Excess energy over the best structure of this formula in the dataset in meV per atom: 0

Unit cell a=4.807 b=4.807 c=4.623 alpha=90.00 beta=90.00 gamma=90.00
Space group P4/mmm (No. 123)
Unique sites:
Zr 0.000 0.000 0.000 x1
Ta 0.500 0.500 0.500 x1
P 0.000 0.500 0.500 x2
S 0.500 0.500 0.000 x1

---

No. 3
Material: Ba2Sb3Pt4Pb
Method: DFT, PBE-GGA
State: optimized geometry

## Properties
Crystal system: tetragonal
Formation energy (no corrections) in eV/atom: -0.742

Unit cell a=4.832 b=4.832 c=10.812 alpha=90.00 beta=90.00 gamma=90.00
Space group P-4m2 (No. 115)
Unique sites:
Ba 0.000 0.500 0.242 x2
Sb 0.000 0.500 0.880 x2
Sb 0.500 0.500 0.500 x1
Pt 0.000 0.000 0.000 x1
Pt 0.000 0.500 0.633 x2
Pt 0.500 0.500 0.000 x1
Pb 0.000 0.000 0.500 x1

---

No. 4
Material: BaSm2ZnSe5
Method: DFT, PBE-GGA
State: optimized geometry

## Properties
Crystal system: tetragonal
Formation energy (no corrections) in eV/atom: -1.631

Unit cell a=8.173 b=8.173 c=14.315 alpha=90.00 beta=90.00 gamma=90.00
Space group I4/mcm (No. 140)
Unique sites:
Ba 0.000 0.000 0.250 x4
Sm 0.158 0.342 0.000 x8
Zn 0.000 0.500 0.250 x4
Se 0.000 0.000 0.000 x4
Se 0.150 0.350 0.368 x16

---

No. 5
Material: Sc6TeAs2Se3
Method: DFT, PBE-GGA
State: optimized geometry

## Properties
Crystal system: monoclinic
Formation energy (no corrections) in eV/atom: -1.476

Unit cell a=17.143 b=3.920 c=7.881 alpha=90.00 beta=103.09 gamma=90.00
Space group C2/m (No. 12)
Unique sites:
Sc 0.008 0.000 0.277 x4
Sc 0.171 0.500 0.577 x4
Sc 0.176 0.500 0.106 x4
Te 0.000 0.500 0.000 x2
As 0.168 0.000 0.336 x4
Se 0.000 0.500 0.500 x2
Se 0.162 0.000 0.835 x4

---

No. 6
Material: NiBiTe3
Method: DFT, PBE-GGA
State: optimized geometry

## Properties
Crystal system: cubic
Formation energy (no corrections) in eV/atom: 1.178
Excess energy over the best structure of this formula in the dataset in meV per atom: 1018

Unit cell a=5.846 b=5.846 c=5.846 alpha=90.00 beta=90.00 gamma=90.00
Space group Pm-3m (No. 221)
Unique sites:
Ni 0.000 0.000 0.000 x1
Bi 0.500 0.500 0.500 x1
Te 0.000 0.500 0.500 x3

---

No. 7
Material: Sc6SnGe2Te3
Method: DFT, PBE-GGA
State: optimized geometry

## Properties
Crystal system: monoclinic
Formation energy (no corrections) in eV/atom: -0.968

Unit cell a=17.897 b=4.049 c=8.262 alpha=90.00 beta=103.93 gamma=90.00
Space group C2/m (No. 12)
Unique sites:
Sc 0.010 0.000 0.252 x4
Sc 0.167 0.500 0.110 x4
Sc 0.175 0.500 0.567 x4
Sn 0.000 0.500 0.000 x2
Ge 0.168 0.000 0.336 x4
Te 0.000 0.500 0.500 x2
Te 0.164 0.000 0.833 x4

---

No. 8
Material: BaEuTlCd
Method: DFT, PBE-GGA
State: optimized geometry

## Properties
Crystal system: cubic
Energy of formation in eV per atom: -0.3559

Unit cell a=8.252 b=8.252 c=8.252 alpha=90.00 beta=90.00 gamma=90.00
Space group F-43m (No. 216)
Unique sites:
Ba 0.000 0.000 0.000 x4
Eu 0.000 0.000 0.500 x4
Tl 0.250 0.250 0.250 x4
Cd 0.250 0.250 0.750 x4

---

no.,magnetic moment (μB per cell)
1,0.0
2,0.6
3,0.0
4,0.0
5,0.0
6,0.1
7,0.0
8,28.0